Entry 1:
NiOsRh2 | GGA-PBEsol | relaxed

abc: 2.668 2.668 7.272
angles: 90.00 90.00 90.00
Each line ends with the local moment (μB).
Sites, in units of the cell vectors:
Rh 0.000 0.000 0.244  0.09
Os 0.500 0.500 0.500  0.00
Ni 0.500 0.500 0.000  0.42
Rh 0.000 0.000 0.756  0.09

Values from the calculation:
- Calculated formation energy: 0.04 eV/atom
- Space group: P4/mmm

***

Entry 2:
Y4Si5Ir9 | GGA-PBEsol | relaxed

abc: 5.480 5.480 22.518
angles: 90.00 90.00 120.00
Sites, in units of the cell vectors:
Ir 0.833 0.667 0.750
Y 0.667 0.333 0.326
Ir 0.335 0.168 0.913
Ir 0.832 0.168 0.587
Si 0.667 0.333 0.668
Y 0.333 0.667 0.674
Ir 0.832 0.665 0.587
Si 0.000 0.000 0.500
Ir 0.335 0.168 0.587
Ir 0.665 0.832 0.087
Si 0.000 0.000 0.833
Y 0.333 0.667 0.528
Ir 0.167 0.333 0.250
Ir 0.168 0.335 0.087
Ir 0.665 0.832 0.413
Ir 0.168 0.832 0.087
Ir 0.832 0.168 0.913
Si 0.000 0.000 0.333
Ir 0.833 0.167 0.750
Ir 0.167 0.833 0.250
Si 0.000 0.000 0.000
Y 0.333 0.667 0.826
Y 0.333 0.667 0.972
Si 0.333 0.667 0.168
Y 0.667 0.333 0.028
Si 0.000 0.000 0.667
Y 0.667 0.333 0.472
Ir 0.333 0.167 0.750
Y 0.667 0.333 0.174
Ir 0.667 0.833 0.250
Si 0.667 0.333 0.832
Si 0.333 0.667 0.332
Ir 0.832 0.665 0.913
Ir 0.168 0.335 0.413
Ir 0.168 0.832 0.413
Si 0.000 0.000 0.167

Values from the calculation:
- Formation energy (no corrections): -1732 kJ/mol of formula units
- Space group: P6_3/mmc

***

Entry 3:
FeOs | GGA-PBEsol | relaxed

abc: 2.602 3.914 4.880
angles: 90.00 105.46 90.00
Sites, in units of the cell vectors:
Os 0.832 0.750 0.664
Fe 0.436 0.250 0.871
Os 0.168 0.250 0.336
Fe 0.564 0.750 0.129

Values from the calculation:
- Calculated formation energy: 0.05 eV/atom
- Space group: Cmcm

***

Entry 4:
LiTl2Cd | GGA-PBEsol | relaxed

abc: 4.392 4.394 5.724
angles: 112.57 112.56 90.00
Sites, in units of the cell vectors:
Tl 0.000 0.000 0.000
Li 0.250 0.750 0.500
Cd 0.500 0.500 0.000
Tl 0.750 0.250 0.500

Values from the calculation:
- Calculated formation energy: -0.10 eV/atom
- Space group: I-4m2

***

Entry 5:
Ag3Pb | GGA-PBEsol | relaxed

abc: 4.832 6.043 6.043
angles: 120.00 90.00 90.00
Sites, in units of the cell vectors:
Pb 0.250 0.333 0.667
Ag 0.250 0.319 0.159
Ag 0.750 0.159 0.841
Ag 0.250 0.841 0.159
Pb 0.750 0.667 0.333
Ag 0.250 0.841 0.681
Ag 0.750 0.681 0.841
Ag 0.750 0.159 0.319

Values from the calculation:
- Calculated formation energy: 0.06 eV/atom
- Space group: P6_3/mmc

***

Entry 6:
Mg2BeCd | GGA-PBEsol | relaxed

abc: 3.056 3.056 9.343
angles: 80.59 80.59 60.00
Sites, in units of the cell vectors:
Mg 0.998 0.998 0.007
Be 0.502 0.502 0.494
Cd 0.239 0.239 0.282
Mg 0.761 0.761 0.717

Values from the calculation:
- Calculated formation energy: 0.27 eV/atom
- Space group: R3m

***

Entry 7:
Li2Al2CrSbO8 | GGA-PBEsol | relaxed

abc: 5.733 5.733 9.451
angles: 90.19 90.19 60.18
Each line ends with the local moment (μB).
Sites, in units of the cell vectors:
Li 0.332 0.332 0.048  0.00
Li 0.002 0.002 0.965  0.00
Li 0.998 0.998 0.469  0.00
Cr 0.339 0.830 0.241  2.77
O 0.968 0.518 0.115  0.00
Sb 0.333 0.333 0.471  0.02
O 0.483 0.034 0.617  0.00
O 0.672 0.157 0.358  0.01
Al 0.829 0.829 0.242  0.01
O 0.518 0.968 0.115  0.00
Cr 0.830 0.339 0.241  2.77
O 0.991 0.991 0.151  0.03
O 0.838 0.838 0.854  0.00
O 0.000 0.000 0.658  0.00
O 0.034 0.483 0.617  0.00
Li 0.668 0.668 0.551  0.00
Al 0.171 0.171 0.741  0.00
O 0.838 0.328 0.854  0.01
O 0.161 0.161 0.361  0.01
Al 0.661 0.171 0.741  0.00
Al 0.171 0.661 0.741  0.00
O 0.484 0.484 0.616  0.00
Sb 0.669 0.669 0.966  0.03
O 0.335 0.335 0.841  0.00
O 0.328 0.838 0.854  0.01
O 0.673 0.673 0.346  0.03
O 0.516 0.516 0.114  -0.03
O 0.157 0.672 0.358  0.01

Values from the calculation:
- Formation energy (no corrections): -3136 kJ/mol of formula units
- Space group: Cm

***

Entry 8:
Sc2PPb | GGA-PBEsol | relaxed

abc: 3.479 4.970 4.970
angles: 98.46 98.87 98.87
Sites, in units of the cell vectors:
Pb 0.500 0.500 0.500
Sc 0.000 0.500 0.000
P 0.500 0.000 0.000
Sc 0.000 0.000 0.500

Values from the calculation:
- Calculated formation energy: -0.56 eV/atom
- Space group: C2/m